DFT (GGA-PBEsol) results for crystalline Sb2TeOs at its relaxed geometry.

POSCAR file:
```
Sb2TeOs
1.0
-2.834 1.005 1.460
1.054 -2.809 3.981
2.478 3.922 2.111
Os Te Sb
1 1 2
Direct
0.000 0.500 0.500
0.500 0.000 0.500
0.000 0.000 0.000
0.500 0.500 0.000
```

## Properties
Total DFT energy (no corrections) (eV/cell): -21.71
Raw formation energy (meV/atom): 787
Crystal system: orthorhombic

DFT (GGA-PBEsol) results for crystalline Cu2SnSe4 at its relaxed geometry.

POSCAR file:
```
Cu2SnSe4
1.0
5.401 0.000 0.000
0.000 5.401 0.000
-2.701 -2.701 5.419
Se Cu Sn
4 2 1
Direct
0.912 0.339 0.251
0.661 0.661 0.749
0.088 0.088 0.749
0.339 0.912 0.251
0.250 0.750 0.500
0.750 0.250 0.500
0.500 0.500 0.000
```

## Properties
Total DFT energy (no corrections) (eV/cell): -29.48
Raw formation energy (meV/atom): -165
Crystal system: tetragonal

DFT (GGA-PBEsol) results for crystalline CrSi2PbC at its relaxed geometry.

POSCAR file:
```
CrSi2PbC
1.0
4.202 0.000 0.000
0.000 4.245 0.000
0.000 0.000 4.245
Cr Si C Pb
1 2 1 1
Direct
0.500 0.000 0.000
0.000 0.000 0.500
0.000 0.500 0.000
0.000 0.000 0.000
0.500 0.500 0.500
```

## Properties
Total DFT energy (no corrections) (eV/cell): -31.35
Raw formation energy (meV/atom): 806
Crystal system: tetragonal

DFT (GGA-PBEsol) results for crystalline RePt2Br at its relaxed geometry.

POSCAR file:
```
RePt2Br
1.0
4.505 0.000 0.000
2.253 3.902 0.000
2.253 1.301 3.678
Br Pt Re
1 2 1
Direct
0.000 0.000 0.000
0.750 0.750 0.750
0.250 0.250 0.250
0.500 0.500 0.500
```

## Properties
Total DFT energy (no corrections) (eV/cell): -25.05
Raw formation energy (meV/atom): 1020
Crystal system: cubic

DFT (GGA-PBEsol) results for crystalline CuAg3Pb at its relaxed geometry.

POSCAR file:
```
CuAg3Pb
1.0
4.742 0.000 0.000
0.000 4.742 0.000
0.000 0.000 4.742
Ag Cu Pb
3 1 1
Direct
0.000 0.000 0.500
0.000 0.500 0.000
0.500 0.000 0.000
0.000 0.000 0.000
0.500 0.500 0.500
```

## Properties
Total DFT energy (no corrections) (eV/cell): -15.90
E_form (meV per atom): 474
Crystal system: cubic

DFT (GGA-PBEsol) results for crystalline PdRhIN2 at its relaxed geometry.

POSCAR file:
```
PdRhIN2
1.0
-3.202 1.025 -1.591
-1.883 -1.399 2.886
0.379 6.329 3.315
N Pd I Rh
2 1 1 1
Direct
0.500 0.000 0.000
0.000 0.500 0.000
0.000 0.000 0.000
0.000 0.000 0.500
0.500 0.500 0.500
```

## Properties
Total DFT energy (no corrections) (eV/cell): -25.13
Raw formation energy (meV/atom): 1558
Crystal system: tetragonal

DFT (GGA-PBEsol) results for crystalline Be4FeIr at its relaxed geometry.

POSCAR file:
```
Be4FeIr
1.0
-3.141 2.767 0.601
-2.742 -0.570 3.168
0.070 2.583 3.347
Be Ir Fe
4 1 1
Direct
0.376 0.376 0.872
0.872 0.376 0.376
0.376 0.872 0.376
0.376 0.376 0.376
0.000 0.000 0.000
0.750 0.750 0.750
```

## Properties
Total DFT energy (no corrections) (eV/cell): -37.12
E_form (meV per atom): -388
Crystal system: cubic

DFT (GGA-PBEsol) results for crystalline Y2BiPt2 at its relaxed geometry.

POSCAR file:
```
Y2BiPt2
1.0
-2.451 -2.520 0.536
2.270 -3.614 -6.618
5.234 -4.219 4.099
Pt Y Bi
4 4 2
Direct
0.000 0.374 0.874
0.000 0.874 0.626
0.000 0.626 0.126
0.000 0.126 0.374
0.500 0.832 0.332
0.500 0.168 0.668
0.500 0.332 0.168
0.500 0.668 0.832
0.000 0.500 0.500
0.000 0.000 0.000
```

## Properties
Total DFT energy (no corrections) (eV/cell): -74.51
E_form (meV per atom): -1080
Crystal system: tetragonal

DFT (GGA-PBEsol) results for crystalline Ti3VCu2P6O24 at its relaxed geometry.

POSCAR file:
```
Ti3VCu2P6O24
1.0
8.558 0.000 0.000
4.279 7.412 0.000
4.279 2.471 6.894
O Cu P Ti V
24 2 6 3 1
Direct
0.054 0.914 0.763
0.268 0.054 0.763
0.003 0.186 0.433
0.558 0.766 0.265
0.186 0.378 0.433
0.000 0.811 0.565
0.736 0.944 0.237
0.445 0.233 0.737
0.686 0.505 0.932
0.308 0.499 0.069
0.499 0.123 0.069
0.766 0.411 0.265
0.914 0.268 0.763
0.505 0.877 0.932
0.233 0.585 0.737
0.411 0.558 0.265
0.082 0.736 0.237
0.811 0.624 0.565
0.944 0.082 0.237
0.123 0.308 0.069
0.877 0.686 0.932
0.624 0.000 0.565
0.378 0.003 0.433
0.585 0.445 0.737
0.002 0.002 0.995
0.500 0.500 0.501
0.039 0.749 0.748
0.542 0.960 0.251
0.749 0.463 0.748
0.247 0.542 0.251
0.960 0.247 0.251
0.463 0.039 0.748
0.140 0.140 0.580
0.359 0.359 0.922
0.640 0.640 0.080
0.860 0.860 0.421
```

## Properties
Total DFT energy (no corrections) (eV/cell): -286.32
Raw formation energy (meV/atom): -2287
Crystal system: trigonal

DFT (GGA-PBEsol) results for crystalline Ca2SiIr at its relaxed geometry.

POSCAR file:
```
Ca2SiIr
1.0
-1.656 -0.002 -3.503
-4.287 -1.281 2.027
1.890 5.064 1.247
Ir Si Ca
1 1 2
Direct
0.564 0.564 0.128
0.194 0.694 0.388
0.770 0.270 0.540
0.972 0.972 0.944
```

## Properties
Total DFT energy (no corrections) (eV/cell): -21.61
Raw formation energy (meV/atom): -443
Crystal system: orthorhombic

DFT (GGA-PBEsol) results for crystalline Zr2Zn at its relaxed geometry.

POSCAR file:
```
Zr2Zn
1.0
2.797 0.000 0.000
0.000 4.876 0.000
0.000 -2.438 4.223
Zr Zn
2 1
Direct
0.288 0.333 0.667
0.712 0.667 0.333
0.000 0.000 0.000
```

## Properties
Total DFT energy (no corrections) (eV/cell): -19.54
E_form (meV per atom): 75
Crystal system: trigonal

DFT (GGA-PBEsol) results for crystalline KPrGeSe4 at its relaxed geometry.

POSCAR file:
```
KPrGeSe4
1.0
6.814 0.000 -0.025
0.000 6.983 0.000
-2.747 0.000 8.549
Pr Ge K Se
2 2 2 8
Direct
0.771 0.499 0.447
0.229 0.999 0.553
0.219 0.468 0.320
0.781 0.968 0.680
0.253 0.996 0.062
0.747 0.496 0.938
0.582 0.964 0.849
0.036 0.724 0.732
0.964 0.224 0.268
0.575 0.907 0.420
0.991 0.245 0.717
0.009 0.745 0.283
0.418 0.464 0.151
0.425 0.407 0.580
```

## Properties
Total DFT energy (no corrections) (eV/cell): -69.08
Raw formation energy (meV/atom): -1126
Crystal system: monoclinic

DFT (GGA-PBEsol) results for crystalline Li4Ti3Cu3Te2O16 at its relaxed geometry.

POSCAR file:
```
Li4Ti3Cu3Te2O16
1.0
5.895 0.000 0.000
-2.948 5.109 0.009
0.000 -0.278 10.012
Ti O Cu Li Te
3 16 3 4 2
Direct
0.650 0.817 0.783
0.167 0.817 0.783
0.826 0.652 0.277
0.148 0.296 0.412
0.530 0.060 0.148
0.667 0.334 0.381
0.003 0.005 0.707
0.828 0.166 0.917
0.546 0.521 0.134
0.648 0.786 0.390
0.001 0.002 0.203
0.489 0.978 0.686
0.521 0.537 0.667
0.339 0.166 0.917
0.341 0.682 0.893
0.017 0.537 0.667
0.975 0.521 0.134
0.138 0.786 0.390
0.833 0.666 0.905
0.171 0.343 0.798
0.339 0.171 0.285
0.832 0.171 0.285
0.986 0.972 0.512
0.663 0.326 0.595
0.345 0.690 0.089
0.008 0.016 0.020
0.669 0.338 0.015
0.321 0.642 0.497
```

## Properties
Total DFT energy (no corrections) (eV/cell): -187.26
Raw formation energy (meV/atom): -1799
Crystal system: monoclinic

DFT (GGA-PBEsol) results for crystalline MgHg2Pb at its relaxed geometry.

POSCAR file:
```
MgHg2Pb
1.0
3.947 0.000 0.000
0.000 3.440 0.000
0.000 0.000 7.065
Mg Hg Pb
1 2 1
Direct
0.000 0.000 0.463
0.000 0.000 0.024
0.500 0.500 0.263
0.500 0.500 0.750
```

## Properties
Total DFT energy (no corrections) (eV/cell): -7.15
E_form (meV per atom): -75
Crystal system: orthorhombic

DFT (GGA-PBEsol) results for crystalline MnNb2Ga2 at its relaxed geometry.

POSCAR file:
```
MnNb2Ga2
1.0
-0.359 -0.630 3.635
0.980 -6.318 -0.997
6.365 0.864 0.778
Ga Nb Mn
4 4 2
Direct
0.000 0.866 0.634
0.000 0.134 0.366
0.000 0.366 0.866
0.000 0.634 0.134
0.500 0.670 0.830
0.500 0.170 0.670
0.500 0.830 0.330
0.500 0.330 0.170
0.000 0.000 0.000
0.000 0.500 0.500
```

## Properties
Total DFT energy (no corrections) (eV/cell): -78.09
E_form (meV per atom): -192
Crystal system: tetragonal

DFT (GGA-PBEsol) results for crystalline Ba2CrCo at its relaxed geometry.

POSCAR file:
```
Ba2CrCo
1.0
-3.698 -2.195 -3.060
-3.346 -3.540 2.032
-5.080 1.260 0.684
Co Ba Cr
1 2 1
Direct
0.500 0.500 0.500
0.750 0.750 0.750
0.000 0.000 0.000
0.250 0.250 0.250
```

## Properties
Total DFT energy (no corrections) (eV/cell): -18.22
E_form (meV per atom): 1015
Crystal system: cubic

DFT (GGA-PBEsol) results for crystalline Ca2AsCl at its relaxed geometry.

POSCAR file:
```
Ca2AsCl
1.0
3.629 -0.146 -0.153
1.018 5.059 0.018
1.018 -0.225 5.054
As Ca Cl
1 2 1
Direct
0.500 0.000 0.000
0.000 0.500 0.000
0.000 0.000 0.500
0.500 0.500 0.500
```

## Properties
Total DFT energy (no corrections) (eV/cell): -16.96
Raw formation energy (meV/atom): -1395
Crystal system: monoclinic

DFT (GGA-PBEsol) results for crystalline LiAg2 at its relaxed geometry.

POSCAR file:
```
LiAg2
1.0
-3.823 -3.683 -1.046
5.056 -1.584 1.097
-3.972 -0.763 17.206
Li Ag
8 16
Direct
0.000 0.000 0.904
0.667 0.333 0.844
0.000 0.000 0.596
0.333 0.667 0.344
0.000 0.000 0.404
0.000 0.000 0.096
0.333 0.667 0.156
0.667 0.333 0.656
0.500 0.000 0.000
0.164 0.836 0.750
0.500 0.500 0.000
0.164 0.328 0.750
0.836 0.672 0.250
0.836 0.164 0.250
0.000 0.500 0.500
0.333 0.667 0.625
0.328 0.164 0.250
0.500 0.500 0.500
0.333 0.667 0.875
0.667 0.333 0.375
0.672 0.836 0.750
0.500 0.000 0.500
0.667 0.333 0.125
0.000 0.500 0.000
```

## Properties
Total DFT energy (no corrections) (eV/cell): -70.15
Relative energy among the computed polymorphs (meV per atom): 100
E_form (meV per atom): -60
Crystal system: hexagonal

DFT (GGA-PBEsol) results for crystalline NbB at its relaxed geometry.

POSCAR file:
```
NbB
1.0
4.657 -0.001 0.000
-3.494 3.079 0.000
0.000 0.000 3.160
Nb B
2 2
Direct
0.146 0.854 0.250
0.854 0.146 0.750
0.441 0.559 0.250
0.559 0.441 0.750
```

## Properties
Total DFT energy (no corrections) (eV/cell): -39.00
E_form (meV per atom): -832
Crystal system: orthorhombic

DFT (GGA-PBEsol) results for crystalline MgSc2P at its relaxed geometry.

POSCAR file:
```
MgSc2P
1.0
4.730 0.000 0.000
2.365 4.097 0.000
2.365 1.366 3.862
Sc P Mg
2 1 1
Direct
0.750 0.750 0.750
0.000 0.000 0.000
0.250 0.250 0.250
0.500 0.500 0.500
```

## Properties
Total DFT energy (no corrections) (eV/cell): -20.63
Relative energy among the computed polymorphs (meV per atom): 653
E_form (meV per atom): 21
Crystal system: cubic